Material: NdSi2Ru3
Method: DFT, meta-GGA SCAN
State: single point on PBEsol structure

The value obtained for the formation energy from raw total energies is -16.5 kcal/mol of atoms. The theoretical density is 8.684 g/cm³. For the total energy, the calculation gives -28.733 eV/atom. The crystal system is hexagonal. The magnetic moment is 0.0 μB per cell.

The space group is P6/mmm (No. 191) and the conventional cell measures 5.5383, 5.5383 and 3.6252 Å, with angles of 90.00, 90.00 and 120.00 degrees. The distinct sites, in fractional coordinates, are Nd at (0.0000, 0.0000, 0.0000), Si at (0.3333, 0.6667, 0.0000) and Ru at (0.0000, 0.5000, 0.5000).

***

Material: AlInFe2
Method: DFT, meta-GGA SCAN
State: single point on PBEsol structure

The theoretical density is 8.000 g/cm³. For the total energy, the calculation gives -19.169 eV/atom. The crystal system is tetragonal. The magnetic moment is 1.7 μB per cell.

The space group is P4/mmm (No. 123) and the conventional cell measures 4.1897, 4.1897 and 2.9976 Å, with angles of 90.00, 90.00 and 90.00 degrees. The distinct sites, in fractional coordinates, are Al at (0.0000, 0.0000, 0.0000), In at (0.5000, 0.5000, 0.0000) and Fe at (0.0000, 0.5000, 0.5000).

***

Material: NaInS2O
Method: DFT, meta-GGA SCAN
State: single point on PBEsol structure

The value obtained for the formation energy from raw total energies is 19.7 kcal/mol of atoms. The theoretical density is 2.739 g/cm³. For the total energy, the calculation gives -11.765 eV/atom. The crystal system is tetragonal. The magnetic moment is 2.4 μB per cell.

The space group is P4/mmm (No. 123) and the conventional cell measures 4.7400, 4.7400 and 5.8817 Å, with angles of 90.00, 90.00 and 90.00 degrees. The distinct sites, in fractional coordinates, are Na at (0.0000, 0.0000, 0.0000), In at (0.0000, 0.0000, 0.5000), S at (0.0000, 0.5000, 0.0000) and O at (0.5000, 0.5000, 0.5000).